1.
## BRhAuCl (GGA-PBE)

Data for a relaxed structure of BRhAuCl.

Cell lengths 5.0494, 2.9175, 9.3472 Å; angles 90.00, 96.61, 90.00 degrees
Last column: nearest neighbours and their distance in Å.
Space group Cm (No. 8)
Asymmetric unit:
B 0.0000 0.0000 0.0000  1 Cl 1.72
Rh 0.3634 0.0000 0.1410  3 B 2.13
Au 0.2536 0.5000 0.4079  6 Au 2.92, 3 Rh 3.00
Cl 0.4614 0.5000 0.8153  1 B 1.72

=====

2.
## BRhAuCl (GGA-PBE)

Data for a relaxed structure of BRhAuCl.

Cell lengths 2.9798, 3.0168, 7.1527 Å; angles 96.96, 101.96, 90.11 degrees
Last column: nearest neighbours and their distance in Å.
Space group P1 (No. 1)
Asymmetric unit:
B 0.0000 0.0000 0.0000  4 Rh 2.23-2.24, 2 Au 2.27-2.30
Rh 0.4509 0.4714 0.8992  4 B 2.23-2.24, 1 Cl 2.44
Au 0.1229 0.5778 0.2467  2 B 2.27-2.30, 1 Cl 2.53
Cl 0.2967 0.2179 0.5550  1 Rh 2.44, 2 Au 2.53-2.71

=====

Number 1: distance to the lowest polymorph of the same formula 0.0049 eV per atom, formation energy (no corrections) -8.0 kJ/mol of atoms, spin magnetization 0.000 μB per atom. Number 2: distance to the lowest polymorph of the same formula 0.1527 eV per atom, formation energy (no corrections) 6.2 kJ/mol of atoms, spin magnetization 0.000 μB per atom.